(1)
Computed, not measured: a relaxed structure of Ca2TlNiMo at the PBE-GGA level of DFT.

Calculated values
- Energy of formation: 5.61 eV per formula unit
- Fermi-level density of states: 5.3 states/eV/f.u.

Cell and atoms, written as CIF:
```
data_Ca2TlNiMo
_chemical_formula_sum 'Ca2 Tl1 Ni1 Mo1'
_symmetry_space_group_name_H-M 'P 4/m m m'
_symmetry_Int_Tables_number 123
_symmetry_space_group_name_Hall '-P 4 2'
_cell_length_a 5.869
_cell_length_b 5.869
_cell_length_c 4.741
_cell_angle_alpha 90.00
_cell_angle_beta 90.00
_cell_angle_gamma 90.00
loop_
_atom_site_label
_atom_site_fract_x
_atom_site_fract_y
_atom_site_fract_z
Ca1 0.000 0.500 0.000
Tl1 0.000 0.000 0.000
Ni1 0.000 0.000 0.500
Mo1 0.500 0.500 0.500
```

(2)
Computed, not measured: a relaxed structure of MgNiHg3 at the PBE-GGA level of DFT.

Calculated values
- Energy of formation: 0.88 eV per formula unit
- Fermi-level density of states: 1.8 states/eV/f.u.

Cell and atoms, written as CIF:
```
data_MgNiHg3
_chemical_formula_sum 'Mg1 Ni1 Hg3'
_symmetry_space_group_name_H-M 'P m -3 m'
_symmetry_Int_Tables_number 221
_symmetry_space_group_name_Hall '-P 4 2 3'
_cell_length_a 5.017
_cell_length_b 5.017
_cell_length_c 5.017
_cell_angle_alpha 90.00
_cell_angle_beta 90.00
_cell_angle_gamma 90.00
loop_
_atom_site_label
_atom_site_fract_x
_atom_site_fract_y
_atom_site_fract_z
Mg1 0.000 0.000 0.000
Ni1 0.500 0.500 0.500
Hg1 0.000 0.500 0.500
```

| no. | DFT total energy (Ry per atom) | magnetization (μB per cell) |
| --- | --- | --- |
| 1 | -0.255 | 4.5 |
| 2 | -0.109 | 0.0 |